(1)
! KCr2H2Se6 | Alexandria via LeMat-Bulk | GGA-PBE | relaxed; values from VASP
&SYSTEM
  ibrav = 0, nat = 11, ntyp = 4
/
ATOMIC_SPECIES
K 39.10 K.upf
Cr 52.00 Cr.upf
H 1.01 H.upf
Se 78.96 Se.upf
ATOMIC_POSITIONS crystal
K 0.500 0.000 0.500
Cr 0.819 0.347 0.850
Cr 0.181 0.653 0.150
H 0.056 0.748 0.693
H 0.944 0.252 0.307
Se 0.458 0.693 0.949
Se 0.976 0.437 0.168
Se 0.113 0.876 0.599
Se 0.024 0.563 0.832
Se 0.887 0.124 0.401
Se 0.542 0.307 0.051
CELL_PARAMETERS angstrom
-1.706 5.493 3.319
-6.843 -0.413 2.894
5.923 0.155 3.917
! Crystal system: triclinic
! E: -4.6760 eV per atom


(2)
! Rb2U3OsO12 | Alexandria via LeMat-Bulk | GGA-PBE | relaxed; values from VASP
&SYSTEM
  ibrav = 0, nat = 18, ntyp = 4
/
ATOMIC_SPECIES
Rb 85.47 Rb.upf
U 238.03 U.upf
Os 190.23 Os.upf
O 16.00 O.upf
ATOMIC_POSITIONS crystal
Rb 0.628 0.628 0.628
Rb 0.372 0.372 0.372
U 0.500 0.000 0.000
U 0.000 0.500 0.000
U 0.000 0.000 0.500
Os 0.000 0.000 0.000
O 0.322 0.322 0.938
O 0.943 0.943 0.298
O 0.298 0.943 0.943
O 0.938 0.322 0.322
O 0.943 0.298 0.943
O 0.322 0.938 0.322
O 0.678 0.678 0.062
O 0.057 0.057 0.702
O 0.702 0.057 0.057
O 0.062 0.678 0.678
O 0.057 0.702 0.057
O 0.678 0.062 0.678
CELL_PARAMETERS angstrom
-5.066 -5.492 1.516
-2.516 -4.187 -5.854
2.393 -7.225 -0.452
! Formation energy without anion corrections: -2557.7 meV/atom
! Crystal system: trigonal
! E: -8.4759 eV per atom


(3)
! NaInCu2Rh | Alexandria via LeMat-Bulk | GGA-PBE | relaxed; values from VASP
&SYSTEM
  ibrav = 0, nat = 5, ntyp = 4
/
ATOMIC_SPECIES
Na 22.99 Na.upf
Rh 102.91 Rh.upf
Cu 63.55 Cu.upf
In 114.82 In.upf
ATOMIC_POSITIONS crystal
Na 0.000 0.000 0.000
Rh 0.500 0.500 0.500
Cu 0.000 0.000 0.500
Cu 0.500 0.000 0.000
In 0.000 0.500 0.000
CELL_PARAMETERS angstrom
-3.995 -1.143 -1.386
-1.063 -1.800 4.545
-1.537 3.924 1.194
! Crystal system: tetragonal
! Formation enthalpy at 0 K: 1.255 eV/atom
! E: -2.6648 eV per atom


(4)
! KNaSiAu2 | Alexandria via LeMat-Bulk | GGA-PBE | relaxed; values from VASP
&SYSTEM
  ibrav = 0, nat = 5, ntyp = 4
/
ATOMIC_SPECIES
Na 22.99 Na.upf
K 39.10 K.upf
Au 196.97 Au.upf
Si 28.09 Si.upf
ATOMIC_POSITIONS crystal
Na 0.000 0.000 0.500
K 0.500 0.500 0.500
Au 0.000 0.500 0.000
Au 0.500 0.000 0.000
Si 0.000 0.000 0.000
CELL_PARAMETERS angstrom
-0.447 -4.278 -2.327
4.712 -0.970 0.878
-1.376 -2.420 4.713
! Formation energy without anion corrections: -162.5 meV/atom
! Crystal system: tetragonal
! E: -3.0413 eV per atom


(5)
! NdS | Alexandria via LeMat-Bulk | GGA-PBE | relaxed; values from VASP
&SYSTEM
  ibrav = 0, nat = 2, ntyp = 2
/
ATOMIC_SPECIES
S 32.06 S.upf
Nd 144.24 Nd.upf
ATOMIC_POSITIONS crystal
S 0.500 0.500 0.500
Nd 0.000 0.000 0.000
CELL_PARAMETERS angstrom
-2.306 -0.828 -3.251
1.706 -0.293 -3.684
0.285 -3.626 -1.828
! Formation energy without anion corrections: -2021.3 meV/atom
! Crystal system: cubic
! E: -6.4689 eV per atom


(6)
! HgTe3 | Alexandria via LeMat-Bulk | GGA-PBE | relaxed; values from VASP
&SYSTEM
  ibrav = 0, nat = 8, ntyp = 2
/
ATOMIC_SPECIES
Hg 200.59 Hg.upf
Te 127.60 Te.upf
ATOMIC_POSITIONS crystal
Hg 0.000 0.000 0.000
Hg 0.500 0.500 0.500
Te 0.750 0.500 0.000
Te 0.250 0.500 0.000
Te 0.000 0.750 0.500
Te 0.000 0.250 0.500
Te 0.500 0.000 0.250
Te 0.500 0.000 0.750
CELL_PARAMETERS angstrom
-3.382 4.927 1.472
-5.025 -3.541 0.305
1.091 -1.034 5.968
! Formation energy without anion corrections: 454.0 meV/atom
! Crystal system: cubic
! E: -1.9777 eV per atom


(7)
! CeMg2Sc | Alexandria via LeMat-Bulk | GGA-PBE | relaxed; values from VASP
&SYSTEM
  ibrav = 0, nat = 4, ntyp = 3
/
ATOMIC_SPECIES
Sc 44.96 Sc.upf
Mg 24.30 Mg.upf
Ce 140.12 Ce.upf
ATOMIC_POSITIONS crystal
Sc 0.500 0.500 0.000
Mg 0.000 0.000 0.767
Mg 0.000 0.000 0.233
Ce 0.500 0.500 0.500
CELL_PARAMETERS angstrom
-0.780 -2.725 1.533
3.000 -0.207 1.158
-2.610 5.059 7.666
! Crystal system: tetragonal
! Formation enthalpy at 0 K: 0.010 eV/atom
! E: -3.8538 eV per atom


(8)
! PuAl6 | Alexandria via LeMat-Bulk | GGA-PBE | relaxed; values from VASP
&SYSTEM
  ibrav = 0, nat = 7, ntyp = 2
/
ATOMIC_SPECIES
Pu 244.00 Pu.upf
Al 26.98 Al.upf
ATOMIC_POSITIONS crystal
Pu 0.000 0.000 0.000
Al 0.250 0.750 0.500
Al 0.500 0.750 0.250
Al 0.250 0.500 0.750
Al 0.750 0.250 0.500
Al 0.500 0.250 0.750
Al 0.750 0.500 0.250
CELL_PARAMETERS angstrom
-0.343 -5.036 3.588
5.171 3.136 1.333
-4.926 3.609 1.031
! Crystal system: cubic
! Formation enthalpy at 0 K: 0.538 eV/atom
! Energy relative to the lowest polymorph listed for this composition: 0.627 eV/atom
! E: -4.7171 eV per atom


(9)
! ZrV2CdS | Alexandria via LeMat-Bulk | GGA-PBE | relaxed; values from VASP
&SYSTEM
  ibrav = 0, nat = 5, ntyp = 4
/
ATOMIC_SPECIES
S 32.06 S.upf
V 50.94 V.upf
Zr 91.22 Zr.upf
Cd 112.41 Cd.upf
ATOMIC_POSITIONS crystal
S 0.000 0.000 0.000
V 0.000 0.000 0.500
V 0.500 0.000 0.000
Zr 0.500 0.500 0.500
Cd 0.000 0.500 0.000
CELL_PARAMETERS angstrom
-2.001 0.879 3.765
-3.414 -3.411 -1.019
2.422 -3.020 1.992
! Formation energy without anion corrections: 286.5 meV/atom
! Crystal system: tetragonal
! E: -6.0791 eV per atom


(10)
! Pm12Ge7Ru | Alexandria via LeMat-Bulk | GGA-PBE | relaxed; values from VASP
&SYSTEM
  ibrav = 0, nat = 20, ntyp = 3
/
ATOMIC_SPECIES
Pm 145.00 Pm.upf
Ge 72.64 Ge.upf
Ru 101.07 Ru.upf
ATOMIC_POSITIONS crystal
Pm 0.867 0.341 0.721
Pm 0.659 0.279 0.133
Pm 0.394 0.096 0.313
Pm 0.904 0.687 0.606
Pm 0.279 0.133 0.659
Pm 0.687 0.606 0.904
Pm 0.313 0.394 0.096
Pm 0.721 0.867 0.341
Pm 0.096 0.313 0.394
Pm 0.606 0.904 0.687
Pm 0.341 0.721 0.867
Pm 0.133 0.659 0.279
Ge 0.063 0.735 0.974
Ge 0.265 0.026 0.937
Ge 0.026 0.937 0.265
Ge 0.500 0.500 0.500
Ge 0.974 0.063 0.735
Ge 0.735 0.974 0.063
Ge 0.937 0.265 0.026
Ru 0.000 0.000 0.000
CELL_PARAMETERS angstrom
-0.848 3.306 8.409
6.538 -6.292 -0.144
2.133 6.726 -5.706
! Crystal system: trigonal
! Formation enthalpy at 0 K: -0.455 eV/atom
! E: -5.3848 eV per atom


(11)
! Ta3NbBr | Alexandria via LeMat-Bulk | GGA-PBE | relaxed; values from VASP
&SYSTEM
  ibrav = 0, nat = 5, ntyp = 3
/
ATOMIC_SPECIES
Nb 92.91 Nb.upf
Br 79.90 Br.upf
Ta 180.95 Ta.upf
ATOMIC_POSITIONS crystal
Nb 0.000 0.000 0.000
Br 0.500 0.500 0.500
Ta 0.000 0.500 0.000
Ta 0.000 0.000 0.500
Ta 0.500 0.000 0.000
CELL_PARAMETERS angstrom
4.971 0.000 0.000
0.000 4.971 0.000
0.000 0.000 4.971
! Formation energy without anion corrections: 1794.8 meV/atom
! Crystal system: cubic
! Energy relative to the lowest polymorph listed for this composition: 0.371 eV/atom
! E: -7.6653 eV per atom


(12)
! In3RhS | Alexandria via LeMat-Bulk | GGA-PBE | relaxed; values from VASP
&SYSTEM
  ibrav = 0, nat = 5, ntyp = 3
/
ATOMIC_SPECIES
S 32.06 S.upf
Rh 102.91 Rh.upf
In 114.82 In.upf
ATOMIC_POSITIONS crystal
S 0.000 0.000 0.000
Rh 0.500 0.500 0.500
In 0.000 0.500 0.000
In 0.000 0.000 0.500
In 0.500 0.000 0.000
CELL_PARAMETERS angstrom
-3.796 2.941 -1.687
-3.384 -3.128 2.162
0.213 2.734 4.288
! Formation energy without anion corrections: 694.3 meV/atom
! Crystal system: cubic
! Energy relative to the lowest polymorph listed for this composition: 0.781 eV/atom
! E: -3.2446 eV per atom